Computed, not measured: a relaxed Li4Tm3SnTe8 crystal at the GGA-PBE level of DFT.

Cell lengths 8.6044, 8.6044, 8.6044 Å; angles 60.24, 60.24, 60.24 degrees
Positions (direct):
Li1 0.0000 0.0000 0.0000
Li2 0.0000 0.5000 0.5000
Li3 0.5000 0.0000 0.5000
Li4 0.5000 0.5000 0.0000
Tm1 0.0000 0.0000 0.5000
Tm2 0.0000 0.5000 0.0000
Tm3 0.5000 0.0000 0.0000
Sn1 0.5000 0.5000 0.5000
Te1 0.2481 0.2481 0.7505
Te2 0.2481 0.7505 0.2481
Te3 0.2495 0.7519 0.7519
Te4 0.2509 0.2509 0.2509
Te5 0.7491 0.7491 0.7491
Te6 0.7505 0.2481 0.2481
Te7 0.7519 0.2495 0.7519
Te8 0.7519 0.7519 0.2495

Output
Total energy = -4.202 eV/atom
ΔE_f (raw) = -1.064 eV/atom